# 1
DFT (GGA-PBE) results for a relaxed structure of SrCa2La.

Calculated values
Magnetization in μB/f.u.: 0.0
Distance to the lowest polymorph of the same formula in meV/atom: 294
D(E_F) in states/eV per cell: 16.02
ΔE_f in eV per atom: 0.36

Cell: 7.727 7.727 7.727 Å, 102.84 102.84 123.75°
Fractional positions:
Sr (0.000, 0.000, 0.000)
Sr (0.750, 0.250, 0.500)
Ca (0.131, 0.125, 0.506)
Ca (0.375, 0.869, 0.994)
Ca (0.619, 0.625, 0.494)
Ca (0.875, 0.381, 0.006)
La (0.250, 0.750, 0.500)
La (0.500, 0.500, 0.000)

# 2
DFT (GGA-PBE) results for a relaxed structure of Ca4Zn.

Calculated values
Magnetization in μB/f.u.: 0.0
Distance to the lowest polymorph of the same formula in meV/atom: 109
D(E_F) in states/eV per cell: 8.10
ΔE_f in eV per atom: 0.01

Cell: 5.832 5.832 5.832 Å, 90.00 90.00 90.00°
Fractional positions:
Ca (0.000, 0.000, 0.000)
Ca (0.000, 0.500, 0.500)
Ca (0.500, 0.000, 0.500)
Ca (0.500, 0.500, 0.000)
Zn (0.500, 0.500, 0.500)

# 3
DFT (GGA-PBE) results for a relaxed structure of AlFe2C.

Calculated values
Magnetization in μB/f.u.: 1.1
D(E_F) in states/eV per cell: 3.89
ΔE_f in eV per atom: 0.14

Cell: 4.914 4.914 4.914 Å, 101.91 101.91 125.97°
Fractional positions:
Al (0.000, 0.000, 0.000)
Al (0.750, 0.250, 0.500)
Fe (0.231, 0.625, 0.106)
Fe (0.375, 0.481, 0.606)
Fe (0.519, 0.125, 0.894)
Fe (0.875, 0.769, 0.394)
C (0.250, 0.750, 0.500)
C (0.500, 0.500, 0.000)

# 4
DFT (GGA-PBE) results for a relaxed structure of ErNpBi2.

Calculated values
Magnetization in μB/f.u.: 4.0
Distance to the lowest polymorph of the same formula in meV/atom: 0
D(E_F) in states/eV per cell: 11.60
ΔE_f in eV per atom: -0.34

Cell: 7.800 7.800 7.800 Å, 33.28 33.28 33.28°
Fractional positions:
Er (0.000, 0.000, 0.000)
Np (0.500, 0.500, 0.500)
Bi (0.252, 0.252, 0.252)
Bi (0.748, 0.748, 0.748)

# 5
DFT (GGA-PBE) results for a relaxed structure of Nd4Sn2Bi.

Calculated values
Magnetization in μB/f.u.: 0.0
D(E_F) in states/eV per cell: 12.09
ΔE_f in eV per atom: -0.78

Cell: 8.345 8.345 8.345 Å, 109.41 109.41 109.60°
Fractional positions:
Nd (0.120, 0.014, 0.750)
Nd (0.120, 0.514, 0.750)
Nd (0.264, 0.370, 0.250)
Nd (0.486, 0.236, 0.606)
Nd (0.630, 0.880, 0.394)
Nd (0.630, 0.880, 0.894)
Nd (0.764, 0.370, 0.250)
Nd (0.986, 0.736, 0.106)
Sn (0.002, 0.125, 0.377)
Sn (0.375, 0.998, 0.123)
Sn (0.748, 0.625, 0.623)
Sn (0.875, 0.252, 0.877)
Bi (0.250, 0.750, 0.500)
Bi (0.500, 0.500, 0.000)

# 6
DFT (GGA-PBE) results for a relaxed structure of SrHo4Te6.

Calculated values
Magnetization in μB/f.u.: 0.0
D(E_F) in states/eV per cell: 7.57
Energy relative to the elements, uncorrected in eV per atom: -1.412

Cell: 7.484 7.484 22.555 Å, 90.00 90.00 146.02°
Fractional positions:
Sr (0.158, 0.842, 0.750)
Sr (0.842, 0.158, 0.250)
Ho (0.091, 0.909, 0.126)
Ho (0.091, 0.909, 0.374)
Ho (0.359, 0.641, 0.037)
Ho (0.359, 0.641, 0.463)
Ho (0.641, 0.359, 0.537)
Ho (0.641, 0.359, 0.963)
Ho (0.909, 0.091, 0.626)
Ho (0.909, 0.091, 0.874)
Te (0.000, 0.000, 0.000)
Te (0.000, 0.000, 0.500)
Te (0.171, 0.829, 0.250)
Te (0.268, 0.732, 0.588)
Te (0.268, 0.732, 0.912)
Te (0.453, 0.547, 0.160)
Te (0.453, 0.547, 0.340)
Te (0.547, 0.453, 0.660)
Te (0.547, 0.453, 0.840)
Te (0.732, 0.268, 0.088)
Te (0.732, 0.268, 0.412)
Te (0.829, 0.171, 0.750)

# 7
DFT (GGA-PBE) results for a relaxed structure of Ac2PrC.

Calculated values
Magnetization in μB/f.u.: 1.1
D(E_F) in states/eV per cell: 5.47
ΔE_f in eV per atom: 1.05

Cell: 11.103 11.103 11.103 Å, 21.12 21.12 21.12°
Fractional positions:
Ac (0.072, 0.072, 0.072)
Ac (0.928, 0.928, 0.928)
Pr (0.500, 0.500, 0.500)
C (0.000, 0.000, 0.000)

# 8
DFT (GGA-PBE) results for a relaxed structure of Mg2MoIr.

Calculated values
Magnetization in μB/f.u.: 0.0
Distance to the lowest polymorph of the same formula in meV/atom: 240
D(E_F) in states/eV per cell: 2.73
ΔE_f in eV per atom: 0.12

Cell: 2.826 4.338 5.345 Å, 90.00 90.00 90.00°
Fractional positions:
Mg (0.000, 0.000, 0.244)
Mg (0.000, 0.000, 0.756)
Mo (0.500, 0.500, 0.500)
Ir (0.500, 0.500, 0.000)